--- a ---
# CaP3Pd, optimized geometry, DFT PBE
data_CaP3Pd
_chemical_formula_sum 'Ca1 P3 Pd1'
_cell_length_a 5.096
_cell_length_b 5.096
_cell_length_c 5.096
_cell_angle_alpha 90.00
_cell_angle_beta 90.00
_cell_angle_gamma 90.00
_space_group_name_H-M_alt 'P m -3 m'
_space_group_IT_number 221
_space_group_name_Hall '-P 4 2 3'
loop_
_atom_site_label
_atom_site_fract_x
_atom_site_fract_y
_atom_site_fract_z
Ca1 0.000 0.000 0.000
P1 0.000 0.000 0.500
Pd1 0.500 0.500 0.500
# Size of the total moment (μB/atom): 0.000

---

--- b ---
# CaP3Pd, optimized geometry, DFT PBE
data_CaP3Pd
_chemical_formula_sum 'Ca1 P3 Pd1'
_cell_length_a 4.760
_cell_length_b 4.760
_cell_length_c 4.760
_cell_angle_alpha 90.00
_cell_angle_beta 90.00
_cell_angle_gamma 90.00
_space_group_name_H-M_alt 'P m -3 m'
_space_group_IT_number 221
_space_group_name_Hall '-P 4 2 3'
loop_
_atom_site_label
_atom_site_fract_x
_atom_site_fract_y
_atom_site_fract_z
Ca1 0.000 0.000 0.000
P1 0.000 0.500 0.500
Pd1 0.500 0.500 0.500
# Size of the total moment (μB/atom): 0.000

---

Which one sits at the bottom of the stability order? a does.

---

--- a ---
# Ca2PPdRh, optimized geometry, DFT PBE
data_Ca2PPdRh
_chemical_formula_sum 'Ca2 P1 Pd1 Rh1'
_cell_length_a 5.416
_cell_length_b 5.416
_cell_length_c 4.278
_cell_angle_alpha 90.00
_cell_angle_beta 90.00
_cell_angle_gamma 90.00
_space_group_name_H-M_alt 'P 4/m m m'
_space_group_IT_number 123
_space_group_name_Hall '-P 4 2'
loop_
_atom_site_label
_atom_site_fract_x
_atom_site_fract_y
_atom_site_fract_z
Ca1 0.000 0.500 0.000
P1 0.000 0.000 0.000
Pd1 0.500 0.500 0.500
Rh1 0.000 0.000 0.500
# Size of the total moment (μB/atom): 0.000

---

--- b ---
# Ca2PPdRh, optimized geometry, DFT PBE
data_Ca2PPdRh
_chemical_formula_sum 'Ca2 P1 Pd1 Rh1'
_cell_length_a 5.281
_cell_length_b 5.281
_cell_length_c 4.769
_cell_angle_alpha 90.00
_cell_angle_beta 90.00
_cell_angle_gamma 90.00
_space_group_name_H-M_alt 'P 4/m m m'
_space_group_IT_number 123
_space_group_name_Hall '-P 4 2'
loop_
_atom_site_label
_atom_site_fract_x
_atom_site_fract_y
_atom_site_fract_z
Ca1 0.000 0.500 0.000
P1 0.000 0.000 0.500
Pd1 0.500 0.500 0.000
Rh1 0.500 0.500 0.500
# Size of the total moment (μB/atom): 0.000

---

Which one sits at the bottom of the stability order? b does.

---

--- a ---
# CaPrP2, optimized geometry, DFT PBE
data_CaPrP2
_chemical_formula_sum 'Ca3 Pr3 P6'
_cell_length_a 4.2264
_cell_length_b 4.2264
_cell_length_c 20.2797
_cell_angle_alpha 90.00
_cell_angle_beta 90.00
_cell_angle_gamma 120.00
_space_group_name_H-M_alt 'R 3 m'
_space_group_IT_number 160
_space_group_name_Hall 'R 3 -2"'
loop_
_atom_site_label
_atom_site_fract_x
_atom_site_fract_y
_atom_site_fract_z
Ca1 0.0000 0.0000 0.0000
Pr1 0.0000 0.0000 0.8267
P1 0.0000 0.0000 0.2455
P2 0.0000 0.0000 0.4120
# Size of the total moment (μB/atom): 0.000

---

--- b ---
# CaPrP2, optimized geometry, DFT PBE
data_CaPrP2
_chemical_formula_sum 'Ca3 Pr3 P6'
_cell_length_a 4.1874
_cell_length_b 4.1874
_cell_length_c 20.4106
_cell_angle_alpha 90.00
_cell_angle_beta 90.00
_cell_angle_gamma 120.00
_space_group_name_H-M_alt 'R -3 m'
_space_group_IT_number 166
_space_group_name_Hall '-R 3 2"'
loop_
_atom_site_label
_atom_site_fract_x
_atom_site_fract_y
_atom_site_fract_z
Ca1 0.0000 0.0000 0.0000
Pr1 0.0000 0.0000 0.5000
P1 0.0000 0.0000 0.2489
# Size of the total moment (μB/atom): 0.000

---

Which one sits at the bottom of the stability order? a does.

---

--- a ---
# Ca2PPt, optimized geometry, DFT PBE
data_Ca2PPt
_chemical_formula_sum 'Ca4 P2 Pt2'
_cell_length_a 5.488
_cell_length_b 4.330
_cell_length_c 8.092
_cell_angle_alpha 90.00
_cell_angle_beta 105.55
_cell_angle_gamma 90.00
_space_group_name_H-M_alt 'P 1 21/m 1'
_space_group_IT_number 11
loop_
_space_group_symop_operation_xyz
'x,y,z'
'-x,-y,-z'
'-x,y+1/2,-z'
'x,-y+1/2,z'
loop_
_atom_site_label
_atom_site_fract_x
_atom_site_fract_y
_atom_site_fract_z
Ca1 0.208 0.250 0.415
Ca2 0.273 0.750 0.061
P1 0.338 0.750 0.713
Pt1 0.179 0.250 0.773
# Size of the total moment (μB/atom): 0.000

---

--- b ---
# Ca2PPt, optimized geometry, DFT PBE
data_Ca2PPt
_chemical_formula_sum 'Ca8 P4 Pt4'
_cell_length_a 7.661
_cell_length_b 7.661
_cell_length_c 6.369
_cell_angle_alpha 90.00
_cell_angle_beta 90.00
_cell_angle_gamma 90.00
_space_group_name_H-M_alt 'I -4 2 d'
_space_group_IT_number 122
_space_group_name_Hall 'I -4 2bw'
loop_
_atom_site_label
_atom_site_fract_x
_atom_site_fract_y
_atom_site_fract_z
Ca1 0.245 0.750 0.125
P1 0.000 0.000 0.000
Pt1 0.000 0.000 0.500
# Size of the total moment (μB/atom): 0.000

---

--- c ---
# Ca2PPt, optimized geometry, DFT PBE
data_Ca2PPt
_chemical_formula_sum 'Ca4 P2 Pt2'
_cell_length_a 7.608
_cell_length_b 3.281
_cell_length_c 7.570
_cell_angle_alpha 90.00
_cell_angle_beta 100.59
_cell_angle_gamma 90.00
_space_group_name_H-M_alt 'C 1 2/m 1'
_space_group_IT_number 12
loop_
_space_group_symop_operation_xyz
'x,y,z'
'-x,-y,-z'
'-x,y,-z'
'x,-y,z'
'x+1/2,y+1/2,z'
'-x+1/2,-y+1/2,-z'
'-x+1/2,y+1/2,-z'
'x+1/2,-y+1/2,z'
loop_
_atom_site_label
_atom_site_fract_x
_atom_site_fract_y
_atom_site_fract_z
Ca1 0.245 0.000 0.239
P1 0.000 0.500 0.000
Pt1 0.000 0.000 0.500
# Size of the total moment (μB/atom): 0.000

---

Which one sits at the bottom of the stability order? b does.

---

--- a ---
# Ca2PPt, optimized geometry, DFT PBE
data_Ca2PPt
_chemical_formula_sum 'Ca6 P3 Pt3'
_cell_length_a 3.9492
_cell_length_b 3.9492
_cell_length_c 22.1100
_cell_angle_alpha 90.00
_cell_angle_beta 90.00
_cell_angle_gamma 120.00
_space_group_name_H-M_alt 'R -3 m'
_space_group_IT_number 166
_space_group_name_Hall '-R 3 2"'
loop_
_atom_site_label
_atom_site_fract_x
_atom_site_fract_y
_atom_site_fract_z
Ca1 0.0000 0.0000 0.2484
P1 0.0000 0.0000 0.0000
Pt1 0.0000 0.0000 0.5000
# Size of the total moment (μB/atom): 0.099

---

--- b ---
# Ca2PPt, optimized geometry, DFT PBE
data_Ca2PPt
_chemical_formula_sum 'Ca6 P3 Pt3'
_cell_length_a 4.1379
_cell_length_b 4.1379
_cell_length_c 22.1156
_cell_angle_alpha 90.00
_cell_angle_beta 90.00
_cell_angle_gamma 120.00
_space_group_name_H-M_alt 'R 3 m'
_space_group_IT_number 160
_space_group_name_Hall 'R 3 -2"'
loop_
_atom_site_label
_atom_site_fract_x
_atom_site_fract_y
_atom_site_fract_z
Ca1 0.0000 0.0000 0.0000
Ca2 0.0000 0.0000 0.1730
P1 0.0000 0.0000 0.7546
Pt1 0.0000 0.0000 0.4189
# Size of the total moment (μB/atom): 0.004

---

--- c ---
# Ca2PPt, optimized geometry, DFT PBE
data_Ca2PPt
_chemical_formula_sum 'Ca4 P2 Pt2'
_cell_length_a 6.420
_cell_length_b 7.366
_cell_length_c 3.585
_cell_angle_alpha 90.00
_cell_angle_beta 90.00
_cell_angle_gamma 90.00
_space_group_name_H-M_alt 'C m m m'
_space_group_IT_number 65
_space_group_name_Hall '-C 2 2'
loop_
_atom_site_label
_atom_site_fract_x
_atom_site_fract_y
_atom_site_fract_z
Ca1 0.250 0.250 0.000
P1 0.000 0.000 0.500
Pt1 0.000 0.500 0.500
# Size of the total moment (μB/atom): 0.000

---

--- d ---
# Ca2PPt, optimized geometry, DFT PBE
data_Ca2PPt
_chemical_formula_sum 'Ca2 P1 Pt1'
_cell_length_a 3.337
_cell_length_b 4.821
_cell_length_c 5.854
_cell_angle_alpha 90.00
_cell_angle_beta 90.00
_cell_angle_gamma 90.00
_space_group_name_H-M_alt 'P m m 2'
_space_group_IT_number 25
loop_
_space_group_symop_operation_xyz
'x,y,z'
'-x,-y,z'
'-x,y,z'
'x,-y,z'
loop_
_atom_site_label
_atom_site_fract_x
_atom_site_fract_y
_atom_site_fract_z
Ca1 0.000 0.000 0.000
Ca2 0.500 0.500 0.499
P1 0.500 0.500 0.999
Pt1 0.000 0.000 0.500
# Size of the total moment (μB/atom): 0.000

---

Which one sits at the bottom of the stability order? a does.

---

--- a ---
# Ca2P2Pt, optimized geometry, DFT PBE
data_Ca2P2Pt
_chemical_formula_sum 'Ca4 P4 Pt2'
_cell_length_a 6.688
_cell_length_b 6.688
_cell_length_c 4.299
_cell_angle_alpha 90.00
_cell_angle_beta 90.00
_cell_angle_gamma 90.00
_space_group_name_H-M_alt 'P 4/m b m'
_space_group_IT_number 127
_space_group_name_Hall '-P 4 2ab'
loop_
_atom_site_label
_atom_site_fract_x
_atom_site_fract_y
_atom_site_fract_z
Ca1 0.177 0.323 0.000
P1 0.124 0.624 0.500
Pt1 0.000 0.000 0.500
# Size of the total moment (μB/atom): 0.000

---

--- b ---
# Ca2P2Pt, optimized geometry, DFT PBE
data_Ca2P2Pt
_chemical_formula_sum 'Ca8 P8 Pt4'
_cell_length_a 10.998
_cell_length_b 3.995
_cell_length_c 10.388
_cell_angle_alpha 90.00
_cell_angle_beta 110.56
_cell_angle_gamma 90.00
_space_group_name_H-M_alt 'C 1 2/m 1'
_space_group_IT_number 12
loop_
_space_group_symop_operation_xyz
'x,y,z'
'-x,-y,-z'
'-x,y,-z'
'x,-y,z'
'x+1/2,y+1/2,z'
'-x+1/2,-y+1/2,-z'
'-x+1/2,y+1/2,-z'
'x+1/2,-y+1/2,z'
loop_
_atom_site_label
_atom_site_fract_x
_atom_site_fract_y
_atom_site_fract_z
Ca1 0.090 0.000 0.404
Ca2 0.199 0.500 0.149
P1 0.042 0.000 0.917
P2 0.160 0.500 0.640
Pt1 0.073 0.500 0.819
# Size of the total moment (μB/atom): 0.000

---

Which one sits at the bottom of the stability order? a does.

---

--- a ---
# CaP2Pt, optimized geometry, DFT PBE
data_CaP2Pt
_chemical_formula_sum 'Ca4 P8 Pt4'
_cell_length_a 6.605
_cell_length_b 6.605
_cell_length_c 6.605
_cell_angle_alpha 90.00
_cell_angle_beta 90.00
_cell_angle_gamma 90.00
_space_group_name_H-M_alt 'F -4 3 m'
_space_group_IT_number 216
_space_group_name_Hall 'F -4 2 3'
loop_
_atom_site_label
_atom_site_fract_x
_atom_site_fract_y
_atom_site_fract_z
Ca1 0.000 0.000 0.000
P1 0.000 0.000 0.500
P2 0.250 0.250 0.750
Pt1 0.250 0.250 0.250
# Size of the total moment (μB/atom): 0.000

---

--- b ---
# CaP2Pt, optimized geometry, DFT PBE
data_CaP2Pt
_chemical_formula_sum 'Ca1 P2 Pt1'
_cell_length_a 3.589
_cell_length_b 3.589
_cell_length_c 5.825
_cell_angle_alpha 90.00
_cell_angle_beta 90.00
_cell_angle_gamma 90.00
_space_group_name_H-M_alt 'P 4/m m m'
_space_group_IT_number 123
_space_group_name_Hall '-P 4 2'
loop_
_atom_site_label
_atom_site_fract_x
_atom_site_fract_y
_atom_site_fract_z
Ca1 0.000 0.000 0.000
P1 0.500 0.500 0.319
Pt1 0.000 0.000 0.500
# Size of the total moment (μB/atom): 0.000

---

Which one sits at the bottom of the stability order? a does.

---

--- a ---
# CaP2Pt, optimized geometry, DFT PBE
data_CaP2Pt
_chemical_formula_sum 'Ca2 P4 Pt2'
_cell_length_a 3.531
_cell_length_b 3.832
_cell_length_c 11.041
_cell_angle_alpha 90.00
_cell_angle_beta 90.00
_cell_angle_gamma 90.00
_space_group_name_H-M_alt 'I m m 2'
_space_group_IT_number 44
loop_
_space_group_symop_operation_xyz
'x,y,z'
'-x,-y,z'
'-x,y,z'
'x,-y,z'
'x+1/2,y+1/2,z+1/2'
'-x+1/2,-y+1/2,z+1/2'
'-x+1/2,y+1/2,z+1/2'
'x+1/2,-y+1/2,z+1/2'
loop_
_atom_site_label
_atom_site_fract_x
_atom_site_fract_y
_atom_site_fract_z
Ca1 0.000 0.000 0.000
P1 0.000 0.000 0.384
P2 0.000 0.500 0.714
Pt1 0.000 0.500 0.252
# Size of the total moment (μB/atom): 0.000

---

--- b ---
# CaP2Pt, optimized geometry, DFT PBE
data_CaP2Pt
_chemical_formula_sum 'Ca4 P8 Pt4'
_cell_length_a 3.818
_cell_length_b 11.603
_cell_length_c 7.011
_cell_angle_alpha 90.00
_cell_angle_beta 90.00
_cell_angle_gamma 90.00
_space_group_name_H-M_alt 'C m c m'
_space_group_IT_number 63
_space_group_name_Hall '-C 2c 2'
loop_
_atom_site_label
_atom_site_fract_x
_atom_site_fract_y
_atom_site_fract_z
Ca1 0.000 0.168 0.250
P1 0.000 0.408 0.042
Pt1 0.000 0.105 0.750
# Size of the total moment (μB/atom): 0.000

---

Which one sits at the bottom of the stability order? a does.